[1]
This record from Alexandria describes an optimized crystal structure of K3CaP. The functional is GGA-PBE.

Cell: 7.0880 7.0880 7.0880 Å, 90.00 90.00 90.00°
Closest atoms and distances in Å follow each position.
Fractional positions:
K (0.5000, 0.0000, 0.0000)  2 Ca 3.54
K (0.0000, 0.0000, 0.5000)  2 Ca 3.54
K (0.0000, 0.5000, 0.0000)  2 Ca 3.54
Ca (0.0000, 0.0000, 0.0000)  6 K 3.54
P (0.5000, 0.5000, 0.5000)  12 K 5.01

Computed properties:
* DFT formation energy: 0.9378 eV per atom
* excess energy over the best structure of this formula in the dataset: 831 meV/atom
* space-group type: Pm-3m
* theoretical density: 0.9 g/cm3
* volume: 356.09 Å³ per cell
* VASP energy: -1.20 eV/atom

=====

[2]
This record from Alexandria describes an optimized crystal structure of LiHgTe. The functional is GGA-PBE.

Cell: 3.5749 3.5749 6.7445 Å, 90.00 90.00 120.00°
Closest atoms and distances in Å follow each position.
Fractional positions:
Hg (0.0000, 0.0000, 0.0321)  3 Li 2.92
Te (0.3333, 0.6667, 0.6287)  3 Li 2.84
Li (0.6667, 0.3333, 0.3392)  3 Te 2.84, 3 Hg 2.92

Computed properties:
* excess energy over the best structure of this formula in the dataset: 94 meV/atom
* space-group type: P3m1
* theoretical density: 7.5 g/cm3
* raw formation energy: -319 meV per atom
* volume: 74.64 Å³ per cell
* VASP energy: -2.10 eV/atom

=====

[3]
This record from Alexandria describes an optimized crystal structure of MnBeFe4. The functional is GGA-PBE.

Cell: 2.8316 2.8316 8.0094 Å, 90.00 90.00 90.00°
Closest atoms and distances in Å follow each position.
Fractional positions:
Mn (0.5000, 0.5000, 0.5000)  8 Fe 2.45
Fe (0.0000, 0.0000, 0.3248)  4 Fe 2.43, 4 Mn 2.45, 1 Be 2.60
Fe (0.5000, 0.5000, 0.1519)  4 Be 2.34, 5 Fe 2.43
Fe (0.5000, 0.5000, 0.8481)  4 Be 2.34, 5 Fe 2.43
Fe (0.0000, 0.0000, 0.6752)  4 Fe 2.43, 4 Mn 2.45, 1 Be 2.60
Be (0.0000, 0.0000, 0.0000)  10 Fe 2.34-2.60

Computed properties:
* DFT formation energy: 0.0157 eV per atom
* excess energy over the best structure of this formula in the dataset: 0 meV/atom
* space-group type: P4/mmm
* theoretical density: 7.4 g/cm3
* volume: 64.22 Å³ per cell
* VASP energy: -7.78 eV/atom

=====

[4]
This record from Alexandria describes an optimized crystal structure of Pa2IrPd4. The functional is GGA-PBE.

Cell: 4.0162 7.1981 9.5056 Å, 90.00 90.00 90.00°
Closest atoms and distances in Å follow each position.
Fractional positions:
Pd (0.5000, 0.7916, 0.3910)  5 Pd 2.87-3.15, 4 Pa 2.88-3.09, 2 Ir 3.08
Pd (0.5000, 0.2084, 0.6090)  5 Pd 2.87-3.15, 4 Pa 2.88-3.09, 2 Ir 3.08
Pd (0.0000, 0.8712, 0.5976)  3 Pd 2.62-2.87, 3 Pa 2.69-2.87, 1 Ir 2.83
Pd (0.5000, 0.6288, 0.0976)  3 Pd 2.62-2.87, 3 Pa 2.69-2.87, 1 Ir 2.83
Pd (0.5000, 0.3712, 0.9024)  3 Pd 2.62-2.87, 3 Pa 2.69-2.87, 1 Ir 2.83
Pd (0.0000, 0.2916, 0.1090)  5 Pd 2.87-3.15, 4 Pa 2.88-3.09, 2 Ir 3.08
Pd (0.0000, 0.1288, 0.4024)  3 Pd 2.62-2.87, 3 Pa 2.69-2.87, 1 Ir 2.83
Pd (0.0000, 0.7084, 0.8910)  5 Pd 2.87-3.15, 4 Pa 2.88-3.09, 2 Ir 3.08
Pa (0.5000, 0.6118, 0.6865)  6 Pd 2.69-3.00, 2 Ir 2.80
Pa (0.5000, 0.3882, 0.3135)  6 Pd 2.69-3.00, 2 Ir 2.80
Pa (0.0000, 0.1118, 0.8135)  6 Pd 2.69-3.00, 2 Ir 2.80
Pa (0.0000, 0.8882, 0.1865)  6 Pd 2.69-3.00, 2 Ir 2.80
Ir (0.5000, 0.0000, 0.0000)  4 Pa 2.80, 6 Pd 2.83-3.08
Ir (0.0000, 0.5000, 0.5000)  4 Pa 2.80, 6 Pd 2.83-3.08

Computed properties:
* DFT formation energy: -0.5568 eV per atom
* space-group type: Pnnm
* theoretical density: 13.1 g/cm3
* volume: 274.80 Å³ per cell
* VASP energy: -7.50 eV/atom

=====

[5]
This record from Alexandria describes an optimized crystal structure of AcPmRu2. The functional is GGA-PBE.

Cell: 5.0672 5.0672 5.0672 Å, 60.00 60.00 60.00°
Closest atoms and distances in Å follow each position.
Fractional positions:
Ac (0.5000, 0.5000, 0.5000)  8 Ru 3.10
Ru (0.2500, 0.2500, 0.2500)  4 Ac 3.10, 4 Pm 3.10
Ru (0.7500, 0.7500, 0.7500)  4 Pm 3.10, 4 Ac 3.10
Pm (0.0000, 0.0000, 0.0000)  8 Ru 3.10

Computed properties:
* DFT formation energy: 0.0132 eV per atom
* excess energy over the best structure of this formula in the dataset: 0 meV/atom
* space-group type: Fm-3m
* theoretical density: 10.4 g/cm3
* volume: 92.00 Å³ per cell
* VASP energy: -6.84 eV/atom

=====

Which of these has the lowest volume? MnBeFe4